[1]
A plane-wave DFT calculation with GGA-PBE was carried out for crystalline CuTcSn2Pt at its relaxed geometry.

POSCAR file:
```
CuTcSn2Pt
1.0
4.796 0.000 0.000
0.000 4.796 0.000
0.000 0.000 4.733
Cu Tc Sn Pt
1 1 2 1
direct
0.000 0.000 0.000
0.000 0.000 0.500
0.000 0.500 0.000
0.500 0.000 0.000
0.500 0.500 0.500
```

Results
- Calculated total energy: -4.765 eV/atom
- DOS(E_F): 0.76 states/eV/atom
- SG: No. 123
- Formation energy from the elements: 0.936 eV/atom
- Calculated density: 9.06 g/cm³
- V: 21.8 Å³ per atom

=====

[2]
A plane-wave DFT calculation with GGA-PBE was carried out for crystalline TmCuSnPt at its relaxed geometry.

POSCAR file:
```
TmCuSnPt
1.0
0.000 3.341 3.341
3.341 0.000 3.341
3.341 3.341 0.000
Tm Cu Sn Pt
1 1 1 1
direct
0.000 0.000 0.000
0.250 0.250 0.250
0.500 0.500 0.500
0.750 0.750 0.750
```

Results
- Calculated total energy: -5.345 eV/atom
- DOS(E_F): 0.72 states/eV/atom
- SG: No. 216
- Formation energy from the elements: -0.692 eV/atom
- Calculated density: 12.16 g/cm³
- V: 18.7 Å³ per atom

=====

[3]
A plane-wave DFT calculation with GGA-PBE was carried out for crystalline UCuSnPt at its relaxed geometry.

POSCAR file:
```
UCuSnPt
1.0
0.000 3.387 3.387
3.387 0.000 3.387
3.387 3.387 0.000
U Cu Sn Pt
1 1 1 1
direct
0.000 0.000 0.000
0.750 0.750 0.750
0.500 0.500 0.500
0.250 0.250 0.250
```

Results
- Calculated total energy: -6.662 eV/atom
- DOS(E_F): 1.87 states/eV/atom
- SG: No. 216
- Formation energy from the elements: -0.305 eV/atom
- Calculated density: 13.15 g/cm³
- V: 19.4 Å³ per atom

=====

[4]
A plane-wave DFT calculation with GGA-PBE was carried out for crystalline VCuSnPt at its relaxed geometry.

POSCAR file:
```
VCuSnPt
1.0
0.000 3.177 3.177
3.177 0.000 3.177
3.177 3.177 0.000
V Cu Sn Pt
1 1 1 1
direct
0.000 0.000 0.000
0.250 0.250 0.250
0.500 0.500 0.500
0.750 0.750 0.750
```

Results
- Calculated total energy: -5.919 eV/atom
- DOS(E_F): 1.25 states/eV/atom
- SG: No. 216
- Formation energy from the elements: -0.104 eV/atom
- Calculated density: 11.09 g/cm³
- V: 16.0 Å³ per atom

=====

[5]
A plane-wave DFT calculation with GGA-PBE was carried out for crystalline CuSn2PtW at its relaxed geometry.

POSCAR file:
```
CuSn2PtW
1.0
5.064 0.000 0.000
0.000 5.064 0.000
0.000 0.000 4.743
Cu Sn Pt W
1 2 1 1
direct
0.000 0.000 0.000
0.000 0.500 0.500
0.500 0.000 0.500
0.000 0.000 0.500
0.500 0.500 0.000
```

Results
- Calculated total energy: -5.058 eV/atom
- DOS(E_F): 0.64 states/eV/atom
- SG: No. 123
- Formation energy from the elements: 1.161 eV/atom
- Calculated density: 9.28 g/cm³
- V: 24.3 Å³ per atom

=====

[6]
A plane-wave DFT calculation with GGA-PBE was carried out for crystalline Sr4Cu3Pt at its relaxed geometry.

POSCAR file:
```
Sr4Cu3Pt
1.0
4.423 0.000 0.000
0.000 4.439 0.000
0.000 0.000 11.467
Sr Cu Pt
4 3 1
direct
0.000 0.000 0.000
0.000 0.500 0.271
0.500 0.000 0.482
0.500 0.500 0.771
0.000 0.000 0.682
0.000 0.500 0.575
0.500 0.500 0.074
0.500 0.000 0.197
```

Results
- Calculated total energy: -3.433 eV/atom
- DOS(E_F): 0.51 states/eV/atom
- SG: No. 25
- Formation energy from the elements: -0.301 eV/atom
- Calculated density: 5.43 g/cm³
- V: 28.1 Å³ per atom

=====

[7]
A plane-wave DFT calculation with GGA-PBE was carried out for crystalline SrCuPt at its relaxed geometry.

POSCAR file:
```
SrCuPt
1.0
0.000 3.425 3.425
3.425 0.000 3.425
3.425 3.425 0.000
Sr Cu Pt
1 1 1
direct
0.000 0.000 0.000
0.750 0.750 0.750
0.250 0.250 0.250
```

Results
- Energy above the lowest structure with this stoichiometry: 2.66 eV/f.u.
- Calculated total energy: -3.585 eV/atom
- DOS(E_F): 0.36 states/eV/atom
- SG: No. 216
- Formation energy from the elements: 0.355 eV/atom
- Calculated density: 7.16 g/cm³
- V: 26.8 Å³ per atom

=====

[8]
A plane-wave DFT calculation with GGA-PBE was carried out for crystalline SrCuPt3 at its relaxed geometry.

POSCAR file:
```
SrCuPt3
1.0
4.721 0.000 0.000
0.000 4.721 0.000
0.000 0.000 4.721
Sr Cu Pt
1 1 3
direct
0.000 0.000 0.000
0.500 0.500 0.500
0.000 0.500 0.500
0.500 0.000 0.500
0.500 0.500 0.000
```

Results
- Energy above the lowest structure with this stoichiometry: 0.00 eV/f.u.
- Calculated total energy: -4.749 eV/atom
- DOS(E_F): 0.69 states/eV/atom
- SG: No. 221
- Formation energy from the elements: 0.031 eV/atom
- Calculated density: 11.62 g/cm³
- V: 21.0 Å³ per atom

=====

[9]
A plane-wave DFT calculation with GGA-PBE was carried out for crystalline Sr8Cu2Pt at its relaxed geometry.

POSCAR file:
```
Sr8Cu2Pt
1.0
7.160 -4.052 0.000
7.160 4.052 0.000
-0.044 0.000 8.211
Sr Cu Pt
8 2 1
direct
0.199 0.199 0.617
0.207 0.712 0.754
0.288 0.288 0.106
0.288 0.793 0.246
0.712 0.207 0.754
0.712 0.712 0.894
0.793 0.288 0.246
0.801 0.801 0.383
0.084 0.084 0.958
0.916 0.916 0.042
0.000 0.000 0.500
```

Results
- Calculated total energy: -2.702 eV/atom
- DOS(E_F): 0.70 states/eV/atom
- SG: No. 12
- Formation energy from the elements: -0.185 eV/atom
- Calculated density: 3.57 g/cm³
- V: 43.3 Å³ per atom

=====

[10]
A plane-wave DFT calculation with GGA-PBE was carried out for crystalline SrCuPt at its relaxed geometry.

POSCAR file:
```
SrCuPt
1.0
-1.597 1.932 5.114
1.597 -1.932 5.114
1.597 1.932 -5.114
Sr Cu Pt
1 1 1
direct
0.000 0.000 0.000
0.716 0.716 0.000
0.297 0.297 0.000
```

Results
- Energy above the lowest structure with this stoichiometry: 0.77 eV/f.u.
- Calculated total energy: -4.214 eV/atom
- DOS(E_F): 0.42 states/eV/atom
- SG: No. 44
- Formation energy from the elements: -0.274 eV/atom
- Calculated density: 9.11 g/cm³
- V: 21.0 Å³ per atom

=====

[11]
A plane-wave DFT calculation with GGA-PBE was carried out for crystalline Sr3CuPt8 at its relaxed geometry.

POSCAR file:
```
Sr3CuPt8
1.0
2.761 1.594 8.936
-2.761 1.594 8.936
0.000 -3.188 8.936
Sr Cu Pt
3 1 8
direct
0.000 0.000 0.000
0.129 0.129 0.129
0.514 0.514 0.514
0.649 0.649 0.649
0.065 0.565 0.565
0.067 0.067 0.568
0.067 0.568 0.067
0.316 0.316 0.316
0.565 0.065 0.565
0.565 0.565 0.065
0.568 0.067 0.067
0.817 0.817 0.817
```

Results
- Calculated total energy: -5.431 eV/atom
- DOS(E_F): 0.71 states/eV/atom
- SG: No. 160
- Formation energy from the elements: -0.642 eV/atom
- Calculated density: 13.28 g/cm³
- V: 19.7 Å³ per atom

=====

[12]
A plane-wave DFT calculation with GGA-PBE was carried out for crystalline SrCuPt3 at its relaxed geometry.

POSCAR file:
```
SrCuPt3
1.0
5.213 0.000 0.000
0.000 5.213 0.000
0.000 0.000 5.213
Sr Cu Pt
1 1 3
direct
0.000 0.000 0.000
0.500 0.500 0.500
0.000 0.000 0.500
0.000 0.500 0.000
0.500 0.000 0.000
```

Results
- Energy above the lowest structure with this stoichiometry: 8.50 eV/f.u.
- Calculated total energy: -3.050 eV/atom
- DOS(E_F): 0.69 states/eV/atom
- SG: No. 221
- Formation energy from the elements: 1.730 eV/atom
- Calculated density: 8.63 g/cm³
- V: 28.3 Å³ per atom

=====

[13]
A plane-wave DFT calculation with GGA-PBE was carried out for crystalline SrCuPt at its relaxed geometry.

POSCAR file:
```
SrCuPt
1.0
4.299 -2.812 0.000
4.299 2.812 0.000
-1.859 0.000 5.327
Sr Cu Pt
2 2 2
direct
0.138 0.138 0.364
0.862 0.862 0.636
0.000 0.500 0.000
0.500 0.000 0.000
0.498 0.498 0.247
0.502 0.502 0.753
```

Results
- Energy above the lowest structure with this stoichiometry: 0.87 eV/f.u.
- Calculated total energy: -4.181 eV/atom
- DOS(E_F): 0.44 states/eV/atom
- SG: No. 12
- Formation energy from the elements: -0.242 eV/atom
- Calculated density: 8.93 g/cm³
- V: 21.5 Å³ per atom

=====

[14]
A plane-wave DFT calculation with GGA-PBE was carried out for crystalline SrCu3Pt at its relaxed geometry.

POSCAR file:
```
SrCu3Pt
1.0
4.802 0.000 0.000
0.000 4.802 0.000
0.000 0.000 4.802
Sr Cu Pt
1 3 1
direct
0.000 0.000 0.000
0.000 0.500 0.500
0.500 0.000 0.500
0.500 0.500 0.000
0.500 0.500 0.500
```

Results
- Energy above the lowest structure with this stoichiometry: 0.00 eV/f.u.
- Calculated total energy: -3.952 eV/atom
- DOS(E_F): 0.37 states/eV/atom
- SG: No. 221
- Formation energy from the elements: 0.050 eV/atom
- Calculated density: 7.10 g/cm³
- V: 22.1 Å³ per atom

=====

[15]
A plane-wave DFT calculation with GGA-PBE was carried out for crystalline Sr2CuPt2 at its relaxed geometry.

POSCAR file:
```
Sr2CuPt2
1.0
7.272 0.000 0.000
0.000 7.272 0.000
0.000 0.000 4.473
Sr Cu Pt
4 2 4
direct
0.173 0.327 0.000
0.327 0.827 0.000
0.673 0.173 0.000
0.827 0.673 0.000
0.000 0.000 0.500
0.500 0.500 0.500
0.134 0.634 0.500
0.366 0.134 0.500
0.634 0.866 0.500
0.866 0.366 0.500
```

Results
- Calculated total energy: -4.387 eV/atom
- DOS(E_F): 0.63 states/eV/atom
- SG: No. 127
- Formation energy from the elements: -0.478 eV/atom
- Calculated density: 8.83 g/cm³
- V: 23.7 Å³ per atom

=====

[16]
A plane-wave DFT calculation with GGA-PBE was carried out for crystalline SrCu3Pt at its relaxed geometry.

POSCAR file:
```
SrCu3Pt
1.0
4.910 0.000 0.000
0.000 4.910 0.000
0.000 0.000 4.910
Sr Cu Pt
1 3 1
direct
0.000 0.000 0.000
0.000 0.000 0.500
0.000 0.500 0.000
0.500 0.000 0.000
0.500 0.500 0.500
```

Results
- Energy above the lowest structure with this stoichiometry: 8.45 eV/f.u.
- Calculated total energy: -2.262 eV/atom
- DOS(E_F): 1.28 states/eV/atom
- SG: No. 221
- Formation energy from the elements: 1.741 eV/atom
- Calculated density: 6.64 g/cm³
- V: 23.7 Å³ per atom

=====

[17]
A plane-wave DFT calculation with GGA-PBE was carried out for crystalline Sr2Cu5Pt5 at its relaxed geometry.

POSCAR file:
```
Sr2Cu5Pt5
1.0
4.123 0.000 0.000
0.000 5.542 0.000
0.000 0.000 9.235
Sr Cu Pt
2 5 5
direct
0.000 0.000 0.000
0.000 0.500 0.500
0.000 0.000 0.331
0.000 0.000 0.669
0.000 0.500 0.160
0.000 0.500 0.840
0.500 0.500 0.000
0.500 0.000 0.500
0.500 0.252 0.244
0.500 0.252 0.756
0.500 0.748 0.244
0.500 0.748 0.756
```

Results
- Calculated total energy: -4.996 eV/atom
- DOS(E_F): 0.44 states/eV/atom
- SG: No. 47
- Formation energy from the elements: -0.492 eV/atom
- Calculated density: 11.56 g/cm³
- V: 17.6 Å³ per atom

=====

[18]
A plane-wave DFT calculation with GGA-PBE was carried out for crystalline Sr2CuPt2 at its relaxed geometry.

POSCAR file:
```
Sr2CuPt2
1.0
-2.949 2.949 3.830
2.949 -2.949 3.830
2.949 2.949 -3.830
Sr Cu Pt
2 1 2
direct
0.250 0.750 0.500
0.750 0.250 0.500
0.000 0.000 0.000
0.328 0.328 0.000
0.672 0.672 0.000
```

Results
- Calculated total energy: -4.335 eV/atom
- DOS(E_F): 0.40 states/eV/atom
- SG: No. 139
- Formation energy from the elements: -0.427 eV/atom
- Calculated density: 7.84 g/cm³
- V: 26.6 Å³ per atom

=====

[19]
A plane-wave DFT calculation with GGA-PBE was carried out for crystalline SrCu6Pt2 at its relaxed geometry.

POSCAR file:
```
SrCu6Pt2
1.0
5.237 0.000 0.000
-2.618 4.535 0.000
0.000 0.000 6.715
Sr Cu Pt
1 6 2
direct
0.000 0.000 0.000
0.000 0.500 0.193
0.000 0.500 0.807
0.500 0.000 0.193
0.500 0.000 0.807
0.500 0.500 0.193
0.500 0.500 0.807
0.333 0.667 0.500
0.667 0.333 0.500
```

Results
- Calculated total energy: -4.055 eV/atom
- DOS(E_F): 0.67 states/eV/atom
- SG: No. 191
- Formation energy from the elements: 0.205 eV/atom
- Calculated density: 8.95 g/cm³
- V: 17.7 Å³ per atom

=====

[20]
A plane-wave DFT calculation with GGA-PBE was carried out for crystalline SrCuPt at its relaxed geometry.

POSCAR file:
```
SrCuPt
1.0
4.318 0.000 0.000
-2.159 3.739 0.000
0.000 0.000 4.283
Sr Cu Pt
1 1 1
direct
0.000 0.000 0.000
0.667 0.333 0.500
0.333 0.667 0.500
```

Results
- Energy above the lowest structure with this stoichiometry: 0.05 eV/f.u.
- Calculated total energy: -4.453 eV/atom
- DOS(E_F): 0.26 states/eV/atom
- SG: No. 187
- Formation energy from the elements: -0.514 eV/atom
- Calculated density: 8.31 g/cm³
- V: 23.1 Å³ per atom